Below is a relaxed LaLuAlHg crystal, with properties calculated at the GGA-PBE level.

Cell lengths 5.3091, 5.3091, 5.3091 Å; angles 60.00, 60.00, 60.00 degrees
Fractional coordinates of all 4 atoms:
1 Al 0.2500 0.2500 0.2500
2 Hg 0.7500 0.7500 0.7500
3 La 0.5000 0.5000 0.5000
4 Lu 0.0000 0.0000 0.0000

As for the total energy: -3.752 eV/atom. For the formation energy, the calculation gives -0.379 eV/atom. The calculation puts the size of the total moment at 0.00 μB per cell.